# 1
The following is a PBE-GGA calculation of an optimized crystal structure of Y2AsRh, from the Alexandria database.

Cell and atoms, written as POSCAR:
```
Y2AsRh
1.0
-1.2209 4.7854 -3.7947
-5.5666 1.4732 -2.3732
3.1063 -1.3224 5.2337
As Rh Y
1 1 2
direct
0.5433 0.5433 0.0000
0.7229 0.2229 0.5000
0.2496 0.7496 0.5000
0.9842 0.9842 0.0000
```

Output
formation enthalpy at 0 K	-20.6	kcal/mol of atoms
space group	Imm2 (44)

# 2
The following is a PBE-GGA calculation of an optimized crystal structure of Th6BiIr3Se2, from the Alexandria database.

Cell and atoms, written as POSCAR:
```
Th6BiIr3Se2
1.0
4.1786 0.0000 0.0000
0.0000 8.8853 -0.0661
-2.0893 -2.9585 9.1217
Ir Th Se Bi
3 6 2 1
direct
0.8327 0.1714 0.6653
0.1673 0.8286 0.3347
0.5000 0.5000 0.0000
0.6775 0.0632 0.3551
0.6605 0.5984 0.3210
0.3395 0.4016 0.6790
0.0085 0.7239 0.0170
0.9915 0.2761 0.9830
0.3225 0.9368 0.6449
0.8322 0.6658 0.6645
0.1678 0.3342 0.3355
0.5000 0.0000 0.0000
```

Output
E_form (uncorrected)	-13.645	eV/f.u.
space group	C2/m (12)

# 3
The following is a PBE-GGA calculation of an optimized crystal structure of LiSc2Pd, from the Alexandria database.

Cell and atoms, written as POSCAR:
```
LiSc2Pd
1.0
1.7779 0.0000 10.2013
-0.8889 1.5397 10.2013
-0.8889 -1.5397 10.2013
Sc Pd Li
2 1 1
direct
0.0814 0.0814 0.0814
0.9186 0.9186 0.9186
0.0000 0.0000 0.0000
0.5000 0.5000 0.5000
```

Output
formation enthalpy at 0 K	1.8	kcal/mol of atoms
space group	R-3m (166)

# 4
The following is a PBE-GGA calculation of an optimized crystal structure of Dy2GeB2Ru5, from the Alexandria database.

Cell and atoms, written as POSCAR:
```
Dy2GeB2Ru5
1.0
3.1060 0.0000 0.0000
0.0000 9.5662 0.0000
0.0000 0.0000 9.5662
Ge Ru Dy B
2 10 4 4
direct
0.0000 0.0000 0.0000
0.0000 0.5000 0.5000
0.5000 0.2162 0.0684
0.5000 0.9316 0.2162
0.5000 0.0000 0.5000
0.5000 0.7162 0.4316
0.5000 0.2838 0.5684
0.5000 0.4316 0.2838
0.5000 0.0684 0.7838
0.5000 0.7838 0.9316
0.5000 0.5000 0.0000
0.5000 0.5684 0.7162
0.0000 0.6761 0.1761
0.0000 0.1761 0.3239
0.0000 0.3239 0.8239
0.0000 0.8239 0.6761
0.0000 0.8772 0.3772
0.0000 0.3772 0.1228
0.0000 0.6228 0.8772
0.0000 0.1228 0.6228
```

Output
formation enthalpy at 0 K	-11.4	kcal/mol of atoms
space group	P4/mbm (127)

# 5
The following is a PBE-GGA calculation of an optimized crystal structure of CdPW, from the Alexandria database.

Cell and atoms, written as POSCAR:
```
CdPW
1.0
-0.8191 -3.4860 1.9796
3.3265 2.1736 0.9755
-1.9709 1.8892 2.5114
W P Cd
1 1 1
direct
0.6667 0.3333 0.4999
0.3333 0.6667 0.5001
0.0000 0.0000 0.9999
```

Output
formation enthalpy at 0 K	6.5	kcal/mol of atoms
excess energy over the best structure of this formula in the dataset	144	meV per atom
space group	P-6m2 (187)

# 6
The following is a PBE-GGA calculation of an optimized crystal structure of Ce2Er2Th3, from the Alexandria database.

Cell and atoms, written as POSCAR:
```
Ce2Er2Th3
1.0
-2.0026 -4.3834 1.7753
2.8773 -0.5855 -5.6354
12.4280 -2.9823 6.6553
Th Er Ce
6 4 4
direct
0.7045 0.4091 0.5685
0.2045 0.4091 0.9315
0.5000 0.0000 0.0000
0.7955 0.5909 0.0685
0.0000 0.0000 0.5000
0.2955 0.5909 0.4315
0.9017 0.8031 0.8397
0.5983 0.1969 0.3397
0.0983 0.1969 0.1603
0.4017 0.8031 0.6603
0.8772 0.7529 0.2901
0.1228 0.2471 0.7099
0.3772 0.7529 0.2099
0.6228 0.2471 0.7901
```

Output
formation enthalpy at 0 K	3.8	kcal/mol of atoms
space group	P2_1/c (14)

# 7
The following is a PBE-GGA calculation of an optimized crystal structure of Ti7Pd2Rh2, from the Alexandria database.

Cell and atoms, written as POSCAR:
```
Ti7Pd2Rh2
1.0
6.3791 -0.0030 -0.7207
0.0030 6.4914 0.0027
-1.3684 -0.0011 4.7514
Rh Pd Ti
2 2 7
direct
0.2281 0.0000 0.6144
0.7719 0.0000 0.3856
0.2150 0.5000 0.1077
0.7850 0.5000 0.8923
0.5000 0.7485 0.0000
0.0000 0.3253 0.5000
0.5000 0.2515 0.0000
0.5000 0.7482 0.5000
0.5000 0.2518 0.5000
0.0000 0.0000 0.0000
0.0000 0.6747 0.5000
```

Output
formation enthalpy at 0 K	-3.4	kcal/mol of atoms
space group	P2/m (10)

# 8
The following is a PBE-GGA calculation of an optimized crystal structure of La6Sm5Tm2, from the Alexandria database.

Cell and atoms, written as POSCAR:
```
La6Sm5Tm2
1.0
3.5879 0.0000 0.0000
0.0000 11.2133 0.0000
0.0000 0.0000 23.0196
Sm Tm La
10 4 12
direct
0.5000 0.6653 0.5082
0.5000 0.1653 0.9918
0.5000 0.0857 0.2480
0.5000 0.5000 0.0000
0.5000 0.5857 0.2520
0.5000 0.9143 0.7520
0.5000 0.0000 0.5000
0.5000 0.3347 0.4918
0.5000 0.8347 0.0082
0.5000 0.4143 0.7480
0.0000 0.8350 0.2264
0.0000 0.1650 0.7736
0.0000 0.6650 0.7264
0.0000 0.3350 0.2736
0.5000 0.6656 0.8636
0.0000 0.5314 0.3884
0.0000 0.9686 0.8884
0.0000 0.1349 0.3838
0.0000 0.3651 0.8838
0.5000 0.8344 0.3636
0.5000 0.1656 0.6364
0.0000 0.4686 0.6116
0.0000 0.8651 0.6162
0.0000 0.0314 0.1116
0.5000 0.3344 0.1364
0.0000 0.6349 0.1162
```

Output
formation enthalpy at 0 K	3.3	kcal/mol of atoms
space group	Pbam (55)

# 9
The following is a PBE-GGA calculation of an optimized crystal structure of Ga2ReRhPb, from the Alexandria database.

Cell and atoms, written as POSCAR:
```
Ga2ReRhPb
1.0
-0.1993 -4.4953 -2.4912
3.6378 1.6991 -3.3568
3.6922 -1.8595 3.0600
Pb Rh Ga Re
1 1 2 1
direct
0.0000 0.0000 0.0000
0.5000 0.5000 0.5000
0.5000 0.0000 0.0000
0.0000 0.0000 0.5000
0.0000 0.5000 0.0000
```

Output
formation enthalpy at 0 K	48.2	kcal/mol of atoms
space group	P4/mmm (123)

# 10
The following is a PBE-GGA calculation of an optimized crystal structure of ZnRu2, from the Alexandria database.

Cell and atoms, written as POSCAR:
```
ZnRu2
1.0
-0.9670 -2.5029 -0.5193
1.3280 0.4942 2.3369
-5.6465 1.5853 2.8735
Ru Zn
2 1
direct
0.3333 0.6667 0.6752
0.0000 0.0000 0.9915
0.6667 0.3333 0.3333
```

Output
formation enthalpy at 0 K	0.7	kcal/mol of atoms
space group	P-3m1 (164)

# 11
The following is a PBE-GGA calculation of an optimized crystal structure of AlAg4Rh, from the Alexandria database.

Cell and atoms, written as POSCAR:
```
AlAg4Rh
1.0
3.5317 3.5933 1.7589
-1.1011 2.9289 4.3229
2.6444 -0.8654 4.5538
Al Ag Rh
1 4 1
direct
0.7500 0.7500 0.7500
0.8753 0.3749 0.3749
0.3749 0.8753 0.3749
0.3749 0.3749 0.3749
0.3749 0.3749 0.8753
0.0000 0.0000 0.0000
```

Output
formation enthalpy at 0 K	7.7	kcal/mol of atoms
space group	F-43m (216)

# 12
The following is a PBE-GGA calculation of an optimized crystal structure of POsRu2, from the Alexandria database.

Cell and atoms, written as POSCAR:
```
POsRu2
1.0
-2.0820 7.0161 3.8265
-1.0360 5.6031 5.9779
0.6567 7.0237 4.2940
P Ru Os
1 2 1
direct
0.0000 0.0000 0.0000
0.2581 0.2581 0.2581
0.7419 0.7419 0.7419
0.5000 0.5000 0.5000
```

Output
formation enthalpy at 0 K	-0.7	kcal/mol of atoms
space group	R-3m (166)

# 13
The following is a PBE-GGA calculation of an optimized crystal structure of Mg2CuOsSe, from the Alexandria database.

Cell and atoms, written as POSCAR:
```
Mg2CuOsSe
1.0
4.9380 0.0000 0.0000
0.0000 4.5059 0.0000
0.0000 0.0000 4.9380
Os Mg Se Cu
1 2 1 1
direct
0.0000 0.5000 0.0000
0.0000 0.0000 0.5000
0.5000 0.0000 0.0000
0.0000 0.0000 0.0000
0.5000 0.5000 0.5000
```

Output
E_form (uncorrected)	4.067	eV/f.u.
space group	P4/mmm (123)